No. 1
This record from Alexandria describes a relaxed structure of MgRe2P. The functional is GGA-PBE.

## Properties
The value obtained for the relative energy among the computed polymorphs is 0.318 eV/atom.

a b c (Å): 2.798 2.798 8.635
angles (deg): 90.00 90.00 114.11
Sites, in units of the cell vectors:
P: 0.500 0.500 0.768
Re: 0.500 0.500 0.240
Re: 0.000 0.000 0.987
Mg: 0.000 0.000 0.505

***

No. 2
This record from Alexandria describes a relaxed structure of Pr2Ni5Ir5. The functional is GGA-PBE.

a b c (Å): 4.067 5.275 8.974
angles (deg): 90.00 90.00 90.00
Sites, in units of the cell vectors:
Pr: 0.000 0.000 0.500
Pr: 0.000 0.500 0.000
Ni: 0.000 0.000 0.843
Ni: 0.500 0.000 0.000
Ni: 0.000 0.000 0.157
Ni: 0.000 0.500 0.668
Ni: 0.000 0.500 0.332
Ir: 0.500 0.500 0.500
Ir: 0.500 0.246 0.753
Ir: 0.500 0.754 0.247
Ir: 0.500 0.246 0.247
Ir: 0.500 0.754 0.753

***

no.,VASP energy (eV/atom),calculated formation energy (eV/atom)
1,-7.671,0.3041
2,-7.286,-0.3880